Record 1
A plane-wave DFT calculation with PBE was carried out for a geometry-optimized K5CuAuO2 structure.

a = 5.437 Å, b = 5.437 Å, c = 8.976 Å
α = 90.00°, β = 90.00°, γ = 90.00°
Positions (direct):
K1 0.500 0.000 0.222
K2 0.000 0.500 0.778
K3 0.500 0.000 0.778
K4 0.000 0.500 0.222
Au1 0.500 0.500 0.500
O1 0.000 0.000 0.797
Cu1 0.000 0.000 0.000
K5 0.000 0.000 0.500
O2 0.000 0.000 0.203

Properties
Energy relative to the elements, uncorrected ... -0.78 eV/atom

***

Record 2
A plane-wave DFT calculation with PBE was carried out for a geometry-optimized BaNaInPt structure.

a = 4.572 Å, b = 4.572 Å, c = 12.863 Å
α = 90.00°, β = 90.00°, γ = 90.00°
Positions (direct):
In1 0.750 0.250 0.000
Ba1 0.750 0.750 0.227
Na1 0.250 0.750 0.500
Na2 0.750 0.250 0.500
Ba2 0.250 0.250 0.773
Pt1 0.250 0.250 0.121
Pt2 0.750 0.750 0.879
In2 0.250 0.750 0.000

Properties
DFT formation energy ... -0.4045 eV/atom

***

E_tot? In order: -29.837 -27.278 eV/cell.
Density of states at the Fermi level? In order: 0.380 0.435 states/eV/atom.
Size of the total moment? In order: 0.32 0.00 μB/f.u..